Entry 1
MnAs3Cl | GGA-PBE | optimized geometry

```
data_MnAs3Cl
_cell_length_a 4.6264
_cell_length_b 4.6264
_cell_length_c 4.6264
_cell_angle_alpha 90.00
_cell_angle_beta 90.00
_cell_angle_gamma 90.00
_space_group_name_H-M_alt 'P m -3 m'
_space_group_IT_number 221
_space_group_name_Hall '-P 4 2 3'
loop_
_atom_site_label
_atom_site_type_symbol
_atom_site_fract_x
_atom_site_fract_y
_atom_site_fract_z
_atom_site_occupancy
Mn1 Mn 0.0000 0.0000 0.0000 1
As1 As 0.0000 0.0000 0.5000 1
Cl1 Cl 0.5000 0.5000 0.5000 1
```

* mass density: 5.3 g/cm3

---

Entry 2
MnAs3Cl | GGA-PBE | optimized geometry

```
data_MnAs3Cl
_cell_length_a 4.8537
_cell_length_b 4.8537
_cell_length_c 4.8537
_cell_angle_alpha 90.00
_cell_angle_beta 90.00
_cell_angle_gamma 90.00
_space_group_name_H-M_alt 'P m -3 m'
_space_group_IT_number 221
_space_group_name_Hall '-P 4 2 3'
loop_
_atom_site_label
_atom_site_type_symbol
_atom_site_fract_x
_atom_site_fract_y
_atom_site_fract_z
_atom_site_occupancy
Mn1 Mn 0.0000 0.0000 0.0000 1
As1 As 0.0000 0.5000 0.5000 1
Cl1 Cl 0.5000 0.5000 0.5000 1
```

* mass density: 4.6 g/cm3

---

Referenced to the most stable arrangement, the calculated values in meV per atom are entry 1 0; entry 2 868.

---

Entry 1
MnAsCl | GGA-PBE | optimized geometry

```
data_MnAsCl
_cell_length_a 3.0154
_cell_length_b 3.0154
_cell_length_c 13.5415
_cell_angle_alpha 90.00
_cell_angle_beta 90.00
_cell_angle_gamma 90.00
_space_group_name_H-M_alt 'I 4 m m'
_space_group_IT_number 107
_space_group_name_Hall 'I 4 -2'
loop_
_atom_site_label
_atom_site_type_symbol
_atom_site_fract_x
_atom_site_fract_y
_atom_site_fract_z
_atom_site_occupancy
Mn1 Mn 0.0000 0.0000 0.0000 1
As1 As 0.0000 0.0000 0.3738 1
Cl1 Cl 0.0000 0.0000 0.6141 1
```

* mass density: 4.5 g/cm3

---

Entry 2
MnAsCl | GGA-PBE | optimized geometry

```
data_MnAsCl
_cell_length_a 3.4089
_cell_length_b 3.4089
_cell_length_c 6.8966
_cell_angle_alpha 90.00
_cell_angle_beta 90.00
_cell_angle_gamma 120.00
_space_group_name_H-M_alt 'P 3 m 1'
_space_group_IT_number 156
loop_
_space_group_symop_operation_xyz
'x,y,z'
'-y,x-y,z'
'-x+y,-x,z'
'-y,-x,z'
'-x+y,y,z'
'x,x-y,z'
loop_
_atom_site_label
_atom_site_type_symbol
_atom_site_fract_x
_atom_site_fract_y
_atom_site_fract_z
_atom_site_occupancy
Mn1 Mn 0.0000 0.0000 0.0000 1
As1 As 0.3333 0.6667 0.2158 1
Cl1 Cl 0.6667 0.3333 0.7814 1
```

* mass density: 4.0 g/cm3

---

Referenced to the most stable arrangement, the calculated values in meV per atom are entry 1 267; entry 2 0.

---

Entry 1
MnAsCl | GGA-PBE | optimized geometry

```
data_MnAsCl
_cell_length_a 3.8166
_cell_length_b 6.6550
_cell_length_c 6.6920
_cell_angle_alpha 109.14
_cell_angle_beta 92.22
_cell_angle_gamma 96.02
_space_group_name_H-M_alt 'P -1'
_space_group_IT_number 2
loop_
_space_group_symop_operation_xyz
'x,y,z'
'-x,-y,-z'
loop_
_atom_site_label
_atom_site_type_symbol
_atom_site_fract_x
_atom_site_fract_y
_atom_site_fract_z
_atom_site_occupancy
Mn1 Mn 0.1106 0.4798 0.2378 1
As1 As 0.4154 0.6759 0.6047 1
Cl1 Cl 0.0885 0.2457 0.8804 1
```

* mass density: 3.4 g/cm3

---

Entry 2
MnAsCl | GGA-PBE | optimized geometry

```
data_MnAsCl
_cell_length_a 3.4643
_cell_length_b 5.3965
_cell_length_c 14.4945
_cell_angle_alpha 90.00
_cell_angle_beta 90.00
_cell_angle_gamma 90.00
_space_group_name_H-M_alt 'F m m 2'
_space_group_IT_number 42
_space_group_name_Hall 'F 2 -2'
loop_
_atom_site_label
_atom_site_type_symbol
_atom_site_fract_x
_atom_site_fract_y
_atom_site_fract_z
_atom_site_occupancy
Mn1 Mn 0.0000 0.0000 0.0000 1
As1 As 0.0000 0.0000 0.3788 1
Cl1 Cl 0.0000 0.0000 0.6141 1
```

* mass density: 4.1 g/cm3

---

Entry 3
MnAsCl | GGA-PBE | optimized geometry

```
data_MnAsCl
_cell_length_a 6.4880
_cell_length_b 6.4880
_cell_length_c 6.4880
_cell_angle_alpha 90.00
_cell_angle_beta 90.00
_cell_angle_gamma 90.00
_space_group_name_H-M_alt 'F -4 3 m'
_space_group_IT_number 216
_space_group_name_Hall 'F -4 2 3'
loop_
_atom_site_label
_atom_site_type_symbol
_atom_site_fract_x
_atom_site_fract_y
_atom_site_fract_z
_atom_site_occupancy
Mn1 Mn 0.0000 0.0000 0.0000 1
As1 As 0.2500 0.2500 0.7500 1
Cl1 Cl 0.0000 0.0000 0.5000 1
```

* mass density: 4.0 g/cm3

---

Entry 4
MnAsCl | GGA-PBE | optimized geometry

```
data_MnAsCl
_cell_length_a 6.2650
_cell_length_b 6.2650
_cell_length_c 6.2650
_cell_angle_alpha 90.00
_cell_angle_beta 90.00
_cell_angle_gamma 90.00
_space_group_name_H-M_alt 'F -4 3 m'
_space_group_IT_number 216
_space_group_name_Hall 'F -4 2 3'
loop_
_atom_site_label
_atom_site_type_symbol
_atom_site_fract_x
_atom_site_fract_y
_atom_site_fract_z
_atom_site_occupancy
Mn1 Mn 0.0000 0.0000 0.0000 1
As1 As 0.2500 0.2500 0.2500 1
Cl1 Cl 0.2500 0.2500 0.7500 1
```

* mass density: 4.5 g/cm3

---

Referenced to the most stable arrangement, the calculated values in meV per atom are entry 1 0; entry 2 196; entry 3 906; entry 4 519.